(1)
PBE-GGA CdCu2Mo, optimized geometry; E_tot = -4.62 eV per atom; DOS at the Fermi energy = 1.01 states/eV/atom; energy of formation from the pure elements = 1.4 eV/f.u.
1.0
2.983 -3.781 0.000
2.983 3.781 0.000
0.000 0.000 2.679
Cd Cu Mo
1 2 1
Direct
0.000 0.000 0.000
0.000 0.500 0.500
0.500 0.000 0.500
0.500 0.500 0.000



(2)
PBE-GGA Sc2AuSe2, optimized geometry; E_tot = -5.64 eV per atom; DOS at the Fermi energy = 0.63 states/eV/atom; energy relative to the lowest polymorph listed for this composition = 92.1 meV/atom; E_form (uncorrected) = -1.059 eV/atom
1.0
7.636 0.000 0.000
0.000 7.636 0.000
0.000 0.000 3.398
Sc Au Se
4 2 4
Direct
0.156 0.344 0.000
0.344 0.844 0.000
0.656 0.156 0.000
0.844 0.656 0.000
0.000 0.000 0.500
0.500 0.500 0.500
0.142 0.642 0.500
0.358 0.142 0.500
0.642 0.858 0.500
0.858 0.358 0.500



Which value of E_tot does entry 1 give? -4.62 eV per atom